MgP2AuCl PBE relaxed; formation energy (no corrections) = 633 meV per atom; energy relative to the lowest polymorph listed for this composition = 78 meV/atom; magnetization = 0.0 μB/cell
1.0
4.9195 0.0000 0.0000
0.0000 4.9195 0.0000
0.0000 0.0000 4.6358
Mg P Au Cl
1 2 1 1
Direct
0.0000 0.0000 0.0000 Mg
0.0000 0.5000 0.0000 P
0.5000 0.0000 0.0000 P
0.5000 0.5000 0.5000 Au
0.0000 0.0000 0.5000 Cl

=====

Mg2AuSCl PBE relaxed; formation energy (no corrections) = 24 meV per atom; magnetization = 0.0 μB/cell
1.0
5.2412 0.0000 0.0000
0.0000 5.2412 0.0000
0.0000 0.0000 4.7383
Mg Au S Cl
2 1 1 1
Direct
0.0000 0.5000 0.0000 Mg
0.5000 0.0000 0.0000 Mg
0.0000 0.0000 0.0000 Au
0.5000 0.5000 0.5000 S
0.0000 0.0000 0.5000 Cl

=====

MgAuS2Cl PBE relaxed; formation energy (no corrections) = 113 meV per atom; energy relative to the lowest polymorph listed for this composition = 0 meV/atom; magnetization = 0.0 μB/cell
1.0
4.9038 0.0000 0.0000
0.0000 4.9038 0.0000
0.0000 0.0000 4.8697
Mg Au S Cl
1 1 2 1
Direct
0.0000 0.0000 0.0000 Mg
0.5000 0.5000 0.5000 Au
0.0000 0.5000 0.5000 S
0.5000 0.0000 0.5000 S
0.5000 0.5000 0.0000 Cl

=====

Mg2TaAuCl PBE relaxed; formation energy (no corrections) = 395 meV per atom; magnetization = 1.9 μB/cell
1.0
5.1486 0.0000 0.0000
0.0000 5.1486 0.0000
0.0000 0.0000 5.0927
Mg Ta Au Cl
2 1 1 1
Direct
0.0000 0.5000 0.0000 Mg
0.5000 0.0000 0.0000 Mg
0.0000 0.0000 0.5000 Ta
0.0000 0.0000 0.0000 Au
0.5000 0.5000 0.5000 Cl

=====

MgW2AuCl PBE relaxed; formation energy (no corrections) = 2284 meV per atom; magnetization = 0.9 μB/cell
1.0
4.8686 0.0000 0.0000
0.0000 4.8686 0.0000
0.0000 0.0000 4.3562
Mg W Au Cl
1 2 1 1
Direct
0.0000 0.0000 0.0000 Mg
0.0000 0.5000 0.0000 W
0.5000 0.0000 0.0000 W
0.5000 0.5000 0.5000 Au
0.0000 0.0000 0.5000 Cl

=====

MgZnAu2Cl PBE relaxed; formation energy (no corrections) = 148 meV per atom; magnetization = 0.0 μB/cell
1.0
4.7989 0.0000 0.0000
0.0000 4.7989 0.0000
0.0000 0.0000 5.4676
Mg Zn Au Cl
1 1 2 1
Direct
0.0000 0.0000 0.0000 Mg
0.0000 0.0000 0.5000 Zn
0.0000 0.5000 0.5000 Au
0.5000 0.0000 0.5000 Au
0.5000 0.5000 0.0000 Cl